## BaTi3Cd (PBEsol)

Data for a relaxed BaTi3Cd crystal.

The space group is Pm-3m (No. 221) and the conventional cell measures 5.1715, 5.1715 and 5.1715 Å, with angles of 90.00, 90.00 and 90.00 degrees. The inequivalent atoms are Ba at (0.0000, 0.0000, 0.0000), Ti at (0.0000, 0.5000, 0.5000) and Cd at (0.5000, 0.5000, 0.5000).

For the raw total energy, the calculation gives -4.57 eV/atom. For the energy of formation, the calculation gives 1.0975 eV per atom. The value obtained for the volume is 138.31 Å³/f.u.